{
  "formula": "EuSc2C",
  "functional": "GGA-PBE",
  "state": "optimized geometry",
  "final_energy_ev_per_atom": -8.23,
  "lattice_angstrom": [[-3.2025, 1.0196, -0.0994], [-2.4842, -2.2097, 0.5016], [-1.6188, 1.3613, 9.2490]],
  "species": ["C", "Sc", "Sc", "Eu"],
  "frac_coords": [[0.5000, 0.5000, 0.5000], [0.8772, 0.8772, 0.3685], [0.1228, 0.1228, 0.6315], [0.0000, 0.0000, 0.0000]]
}